## Pm5YTh2 (PBE)

Data for crystalline Pm5YTh2 at its relaxed geometry.

a b c (Å): 8.9686 8.9686 8.9686
angles (deg): 157.13 101.39 83.17
Element x y z (fractional)
Pm1 0.0000 0.0000 0.0000
Pm2 0.1079 0.3699 0.7380
Pm3 0.3682 0.6301 0.7380
Pm4 0.6318 0.3699 0.2620
Pm5 0.8921 0.6301 0.2620
Y1 0.5000 0.0000 0.5000
Th1 0.2573 0.2573 0.0000
Th2 0.7427 0.7427 0.0000

## Properties
- total DFT energy (no corrections) (eV per atom) = -5.5328